Here is MgZrInFe2 after structural relaxation from the Alexandria database. Energies are from PBE.

Lattice parameters (Å, degrees): 4.6688 4.6688 5.5410 90.00 90.00 90.00
Space group P4/mmm (No. 123)
One atom of each set of equivalent atoms:
Mg1 0.0000 0.0000 0.0000 x1
Zr1 0.5000 0.5000 0.5000 x1
In1 0.5000 0.5000 0.0000 x1
Fe1 0.0000 0.5000 0.5000 x2

Results
Its energy of formation is 1.13 eV/atom.



Here is Li8MgCd6 after structural relaxation from the Alexandria database. Energies are from PBE.

Lattice parameters (Å, degrees): 8.0406 8.0406 15.4873 90.00 90.00 120.00
Space group R-3 (No. 148, hexagonal axes)
One atom of each set of equivalent atoms:
Li1 0.0000 0.0000 0.2479 x6
Li2 0.0405 0.2888 0.3984 x18
Mg1 0.0000 0.0000 0.5000 x3
Cd1 0.0179 0.2419 0.9070 x18

Results
Its energy of formation is -0.10 eV/atom.



Here is YScIn6 after structural relaxation from the Alexandria database. Energies are from PBE.

Lattice parameters (Å, degrees): 4.5879 4.5879 9.1577 90.00 90.00 90.00
Space group P4/mmm (No. 123)
One atom of each set of equivalent atoms:
Y1 0.0000 0.0000 0.0000 x1
Sc1 0.0000 0.0000 0.5000 x1
In1 0.0000 0.5000 0.2571 x4
In2 0.5000 0.5000 0.0000 x1
In3 0.5000 0.5000 0.5000 x1

Results
Its energy of formation is -0.36 eV/atom.



Here is MnAl5 after structural relaxation from the Alexandria database. Energies are from PBE.

Lattice parameters (Å, degrees): 4.6927 4.6927 4.5418 90.00 90.00 120.00
Space group P-62m (No. 189)
One atom of each set of equivalent atoms:
Mn1 0.0000 0.0000 0.0000 x1
Al1 0.0000 0.6840 0.5000 x3
Al2 0.3333 0.6667 0.0000 x2

Results
Its energy of formation is -0.12 eV/atom.



Here is Tb2Pr6Y3Mg after structural relaxation from the Alexandria database. Energies are from PBE.

Lattice parameters (Å, degrees): 6.2891 10.9021 11.8821 90.00 100.20 90.00
Space group C2/m (No. 12)
One atom of each set of equivalent atoms:
Tb1 0.0000 0.1667 0.0000 x4
Pr1 0.2484 0.3339 0.2480 x8
Pr2 0.2500 0.0000 0.2491 x4
Y1 0.0000 0.0000 0.5000 x2
Y2 0.0000 0.3336 0.5000 x4
Mg1 0.0000 0.5000 0.0000 x2

Results
Its energy of formation is 0.02 eV/atom.



Here is Be2VOs5W2 after structural relaxation from the Alexandria database. Energies are from PBE.

Lattice parameters (Å, degrees): 9.3716 9.3716 3.0003 90.00 90.00 90.00
Space group P4/mbm (No. 127)
One atom of each set of equivalent atoms:
Be1 0.1236 0.3764 0.0000 x4
V1 0.0000 0.0000 0.0000 x2
Os1 0.0000 0.5000 0.5000 x2
Os2 0.0684 0.2079 0.5000 x8
W1 0.1762 0.6762 0.0000 x4

Results
Its energy of formation is -0.14 eV/atom.



Here is LuThGa2 after structural relaxation from the Alexandria database. Energies are from PBE.

Lattice parameters (Å, degrees): 3.5641 3.5641 7.3432 90.00 90.00 90.00
Space group P4/mmm (No. 123)
One atom of each set of equivalent atoms:
Lu1 0.0000 0.0000 0.0000 x1
Th1 0.0000 0.0000 0.5000 x1
Ga1 0.5000 0.5000 0.2283 x2

Results
Its energy of formation is -0.49 eV/atom.



Here is PaTcSn2 after structural relaxation from the Alexandria database. Energies are from PBE.

Lattice parameters (Å, degrees): 4.2629 4.2629 4.7845 90.00 90.00 90.00
Space group P4/mmm (No. 123)
One atom of each set of equivalent atoms:
Pa1 0.0000 0.0000 0.0000 x1
Tc1 0.5000 0.5000 0.0000 x1
Sn1 0.0000 0.5000 0.5000 x2

Results
Its energy of formation is -0.06 eV/atom.



Here is ZrTcNi2 after structural relaxation from the Alexandria database. Energies are from PBE.

Lattice parameters (Å, degrees): 3.8778 3.8778 7.6330 90.00 90.00 90.00
Space group I4/mmm (No. 139)
One atom of each set of equivalent atoms:
Zr1 0.0000 0.0000 0.0000 x2
Tc1 0.0000 0.0000 0.5000 x2
Ni1 0.0000 0.5000 0.2500 x4

Results
Its energy of formation is -0.16 eV/atom.



Here is Zr8TlRh2 after structural relaxation from the Alexandria database. Energies are from PBE.

Lattice parameters (Å, degrees): 7.8670 12.7593 5.2343 90.00 108.31 90.00
Space group C2/m (No. 12)
One atom of each set of equivalent atoms:
Zr1 0.0000 0.2489 0.0000 x4
Zr2 0.0914 0.0000 0.8131 x4
Zr3 0.2103 0.3823 0.5596 x8
Tl1 0.0000 0.5000 0.0000 x2
Rh1 0.0000 0.2077 0.5000 x4

Results
Its energy of formation is -0.17 eV/atom.



Here is Ba4Pd after structural relaxation from the Alexandria database. Energies are from PBE.

Lattice parameters (Å, degrees): 9.1610 7.5367 9.0940 90.00 119.66 90.00
Space group P2_1/c (No. 14)
One atom of each set of equivalent atoms:
Ba1 0.1600 0.2490 0.3305 x4
Ba2 0.3289 0.7308 0.6631 x4
Pd1 0.0000 0.0000 0.0000 x2

Results
Its energy of formation is -0.27 eV/atom.



Here is Tl2Tc2Pd after structural relaxation from the Alexandria database. Energies are from PBE.

Lattice parameters (Å, degrees): 5.3011 5.3011 7.5967 90.00 90.00 90.00
Space group I4/mmm (No. 139)
One atom of each set of equivalent atoms:
Tl1 0.0000 0.5000 0.2500 x4
Tc1 0.0000 0.0000 0.1429 x4
Pd1 0.0000 0.0000 0.5000 x2

Results
Its energy of formation is 0.82 eV/atom.



Please write out number 6 again, unchanged.
Here is Be2VOs5W2 after structural relaxation from the Alexandria database. Energies are from PBE.

Lattice parameters (Å, degrees): 9.3716 9.3716 3.0003 90.00 90.00 90.00
Space group P4/mbm (No. 127)
One atom of each set of equivalent atoms:
Be1 0.1236 0.3764 0.0000 x4
V1 0.0000 0.0000 0.0000 x2
Os1 0.0000 0.5000 0.5000 x2
Os2 0.0684 0.2079 0.5000 x8
W1 0.1762 0.6762 0.0000 x4

Results
Its energy of formation is -0.14 eV/atom.